DFT (PBE with a Hubbard U) results for an optimized crystal structure of LiDyVF6.

Unit cell a=4.9848 b=4.9848 c=9.9011 alpha=90.00 beta=90.00 gamma=90.00
With the nearest neighbours (Å) after each atom.
Space group P4_2nm (No. 102)
Asymmetric unit:
Li (0.0000, 0.0000, 0.0000)  6 F 2.10-2.16
Dy (0.0000, 0.0000, 0.3348)  6 F 2.19-2.20
V (0.0000, 0.0000, 0.6686)  6 F 2.12-2.14
F (0.1891, 0.1891, 0.8356)  1 Li 2.10, 1 V 2.12, 1 Dy 2.19
F (0.1996, 0.1996, 0.1654)  1 V 2.12, 1 Li 2.16, 1 Dy 2.19
F (0.2002, 0.2002, 0.5056)  1 Li 2.11, 1 V 2.14, 1 Dy 2.20

Output
DFT total energy: -6.154 eV per atom
M_tot: 0.333 μB/atom